1.
8
Lattice="2.6110 1.5075 9.5290 -2.6110 1.5075 9.5290 0.0000 -3.0150 9.5290" Properties=species:S:1:pos:R:3 comment="AcNd2AgHg4 | the Alexandria database | PBE-GGA | optimized geometry" e_tot_ev_per_fu=-20.67 magmom_total_mub_per_fu=0.00 pbc="T T T"
Ac 0.0000 0.0000 0.0000
Nd 0.0000 0.0000 6.7388
Nd 0.0000 0.0000 21.8480
Ag 0.0000 0.0000 14.2934
Hg 0.0000 0.0000 3.6059
Hg 0.0000 0.0000 11.0565
Hg 0.0000 0.0000 17.5304
Hg 0.0000 0.0000 24.9810

2.
5
Lattice="5.0025 0.0000 0.0000 0.0000 5.0025 0.0000 0.0000 0.0000 4.7724" Properties=species:S:1:pos:R:3 comment="BaSrP2O | the Alexandria database | PBE-GGA | optimized geometry" e_tot_ev_per_fu=-21.79 de_polymorph_ev_per_atom=0.000 magmom_total_mub_per_fu=0.00 pbc="T T T"
Ba 0.0000 0.0000 0.0000
Sr 2.5012 2.5012 0.0000
P 0.0000 2.5012 2.3862
P 2.5012 0.0000 2.3862
O 0.0000 0.0000 2.3862

3.
4
Lattice="5.5806 -1.9265 0.0000 5.5806 1.9265 0.0000 -0.4365 0.0000 4.2303" Properties=species:S:1:pos:R:3 comment="SrPt2Br | the Alexandria database | PBE-GGA | optimized geometry" e_tot_ev_per_fu=-17.10 de_polymorph_ev_per_atom=0.278 magmom_total_mub_per_fu=0.00 pbc="T T T"
Sr 0.0000 0.0000 0.0000
Pt 2.6146 0.0000 3.2782
Pt 8.1101 0.0000 0.9521
Br 5.3624 0.0000 2.1152

4.
11
Lattice="4.0043 -5.5459 0.0000 4.0043 5.5459 0.0000 0.0000 0.0000 6.9670" Properties=species:S:1:pos:R:3 comment="Er7Tl2Cu2 | the Alexandria database | PBE-GGA | optimized geometry" e_tot_ev_per_fu=-45.24 magmom_total_mub_per_fu=0.00 pbc="T T T"
Er 0.0000 0.0000 0.0000
Er 2.0022 2.7730 1.7492
Er 2.0022 2.7730 5.2178
Er 2.0022 -2.7730 1.7492
Er 2.0022 -2.7730 5.2178
Er 4.0043 0.0000 1.6536
Er 4.0043 0.0000 5.3134
Tl 1.4556 0.0000 3.4835
Tl 6.5530 0.0000 3.4835
Cu 4.0043 2.2798 0.0000
Cu 4.0043 -2.2798 0.0000